DFT (GGA+U) results for an optimized crystal structure of SrFeO3.

```
data_SrFeO3
_cell_length_a 5.220
_cell_length_b 5.220
_cell_length_c 5.220
_cell_angle_alpha 78.46
_cell_angle_beta 78.46
_cell_angle_gamma 78.46
_space_group_name_H-M_alt 'P 1'
_space_group_IT_number 1
loop_
_space_group_symop_operation_xyz
'x,y,z'
loop_
_atom_site_label
_atom_site_fract_x
_atom_site_fract_y
_atom_site_fract_z
Sr1 0.577 0.577 0.577
Fe1 0.847 0.847 0.847
O1 0.673 0.105 0.673
O2 0.105 0.673 0.673
O3 0.673 0.673 0.105
```

Values from the calculation:
Size of the total moment   2.103 μB/f.u.
Energy   -5.818 eV/atom
D(E_F)   0.00 states/eV per atom
Symmetry   R3m (160)